Entry 1:
This record from Alexandria via LeMat-Bulk describes an optimized crystal structure of PdW2C. The functional is PBE.

a = 2.9096 Å, b = 2.9096 Å, c = 23.5830 Å
α = 90.00°, β = 90.00°, γ = 120.00°
Closest atoms and distances in Å follow each position.
Space group R-3m (No. 166, hexagonal axes)
Inequivalent atoms, fractional coordinates:
Pd 0.0000 0.0000 0.0000 (multiplicity 3)  2 W 2.63, 6 Pd 2.91
W 0.0000 0.0000 0.1113 (multiplicity 6)  3 C 2.13
C 0.0000 0.0000 0.5000 (multiplicity 3)  6 W 2.13

uncorrected energy: -9.604 eV/atom
crystal system: trigonal


Entry 2:
This record from Alexandria via LeMat-Bulk describes an optimized crystal structure of Ba6SeBr3N2. The functional is PBE.

a = 7.5574 Å, b = 13.0868 Å, c = 8.3240 Å
α = 90.00°, β = 107.82°, γ = 90.00°
Closest atoms and distances in Å follow each position.
Space group C2/m (No. 12)
Inequivalent atoms, fractional coordinates:
Ba 0.1966 0.0000 0.1960 (multiplicity 4)  2 N 2.87, 1 Se 3.19
Ba 0.2490 0.1852 0.8018 (multiplicity 8)  2 N 2.85-2.87
Se 0.0000 0.5000 0.0000 (multiplicity 2)  6 Ba 3.19-3.21
Br 0.0000 0.0000 0.5000 (multiplicity 2)  6 Ba 3.30-3.58
Br 0.0000 0.3427 0.5000 (multiplicity 4)  6 Ba 3.35-3.60
N 0.0000 0.1680 0.0000 (multiplicity 4)  6 Ba 2.85-2.87

ΔE_f (raw): -1.385 eV/atom
crystal system: monoclinic


Entry 3:
This record from Alexandria via LeMat-Bulk describes an optimized crystal structure of Dy5Th3H12. The functional is PBE.

a = 13.2534 Å, b = 13.2534 Å, c = 13.2534 Å
α = 90.00°, β = 90.00°, γ = 90.00°
Closest atoms and distances in Å follow each position.
Space group Ia-3d (No. 230)
Inequivalent atoms, fractional coordinates:
Dy 0.0000 0.0000 0.0000 (multiplicity 16)  6 H 2.23
Dy 0.0000 0.2500 0.3750 (multiplicity 24)  4 H 2.25
Th 0.0000 0.2500 0.1250 (multiplicity 24)  8 H 2.35-2.40
H 0.0052 0.0709 0.6524 (multiplicity 96)  2 Dy 2.23-2.25, 2 Th 2.35-2.40, 1 H 2.40

uncorrected energy: -4.731 eV/atom
crystal system: cubic


Entry 4:
This record from Alexandria via LeMat-Bulk describes an optimized crystal structure of TaTiH2Ir. The functional is PBE.

a = 3.6769 Å, b = 3.6769 Å, c = 5.0666 Å
α = 90.00°, β = 90.00°, γ = 90.00°
Closest atoms and distances in Å follow each position.
Space group P4/mmm (No. 123)
Inequivalent atoms, fractional coordinates:
Ta 0.0000 0.0000 0.0000 (multiplicity 1)  2 Ir 2.53, 4 Ti 2.60
Ti 0.5000 0.5000 0.0000 (multiplicity 1)  4 Ta 2.60
H 0.0000 0.5000 0.5000 (multiplicity 2)  2 Ir 1.84
Ir 0.0000 0.0000 0.5000 (multiplicity 1)  4 H 1.84

uncorrected energy: -6.406 eV/atom
crystal system: tetragonal


Entry 5:
This record from Alexandria via LeMat-Bulk describes an optimized crystal structure of KAu2Cl. The functional is PBE.

a = 3.2824 Å, b = 3.2824 Å, c = 29.4596 Å
α = 90.00°, β = 90.00°, γ = 120.00°
Closest atoms and distances in Å follow each position.
Space group R-3m (No. 166, hexagonal axes)
Inequivalent atoms, fractional coordinates:
K 0.0000 0.0000 0.0000 (multiplicity 3)  6 K 3.28, 6 Au 3.32
Au 0.0000 0.0000 0.2408 (multiplicity 6)  3 Cl 2.89
Cl 0.0000 0.0000 0.5000 (multiplicity 3)  6 Au 2.89

ΔE_f (raw): 0.190 eV/atom
crystal system: trigonal


Entry 6:
This record from Alexandria via LeMat-Bulk describes an optimized crystal structure of CaPm2NdSb4. The functional is PBE.

a = 9.0119 Å, b = 9.0216 Å, c = 12.7702 Å
α = 90.00°, β = 90.00°, γ = 90.00°
Closest atoms and distances in Å follow each position.
Space group Fmmm (No. 69)
Inequivalent atoms, fractional coordinates:
Ca 0.0000 0.0000 0.0000 (multiplicity 4)  6 Sb 3.19-3.22
Pm 0.2500 0.2500 0.2500 (multiplicity 8)  6 Sb 3.19
Nd 0.0000 0.0000 0.5000 (multiplicity 4)  6 Sb 3.17-3.19
Sb 0.0000 0.0000 0.2521 (multiplicity 8)  1 Nd 3.17, 4 Pm 3.19, 1 Ca 3.22
Sb 0.2500 0.2500 0.0000 (multiplicity 8)  2 Ca 3.19, 2 Nd 3.19, 2 Pm 3.19

ΔE_f (raw): -1.066 eV/atom
crystal system: orthorhombic


Entry 7:
This record from Alexandria via LeMat-Bulk describes an optimized crystal structure of V2CrIrS. The functional is PBE.

a = 4.2194 Å, b = 4.2194 Å, c = 4.1417 Å
α = 90.00°, β = 90.00°, γ = 90.00°
Closest atoms and distances in Å follow each position.
Space group P4/mmm (No. 123)
Inequivalent atoms, fractional coordinates:
V 0.0000 0.5000 0.0000 (multiplicity 2)  2 S 2.11
Cr 0.0000 0.0000 0.5000 (multiplicity 1)  2 S 2.07
Ir 0.5000 0.5000 0.5000 (multiplicity 1)  8 V 2.96, 4 Cr 2.98
S 0.0000 0.0000 0.0000 (multiplicity 1)  2 Cr 2.07, 4 V 2.11

ΔE_f (raw): 0.208 eV/atom
crystal system: tetragonal


Entry 8:
This record from Alexandria via LeMat-Bulk describes an optimized crystal structure of GeTe3PbAu. The functional is PBE.

a = 8.7507 Å, b = 4.3817 Å, c = 9.7180 Å
α = 90.00°, β = 102.56°, γ = 90.00°
Closest atoms and distances in Å follow each position.
Space group P2_1/m (No. 11)
Inequivalent atoms, fractional coordinates:
Ge 0.1572 0.2500 0.1348 (multiplicity 2)  6 Te 2.94-2.99
Te 0.0618 0.2500 0.8256 (multiplicity 2)  3 Ge 2.94-2.99, 2 Pb 3.24
Te 0.2226 0.2500 0.4492 (multiplicity 2)  2 Au 2.68, 1 Ge 2.98
Te 0.3843 0.7500 0.1317 (multiplicity 2)  2 Ge 2.96, 3 Pb 3.09-3.29
Pb 0.3289 0.7500 0.8063 (multiplicity 2)  5 Te 3.09-3.29, 1 Au 3.38
Au 0.4035 0.7500 0.4797 (multiplicity 2)  2 Te 2.68, 2 Au 2.74

ΔE_f (raw): -0.128 eV/atom
crystal system: monoclinic


Entry 9:
This record from Alexandria via LeMat-Bulk describes an optimized crystal structure of Pm4NdGd. The functional is PBE.

a = 9.4926 Å, b = 9.4926 Å, c = 9.4926 Å
α = 90.00°, β = 90.00°, γ = 90.00°
Closest atoms and distances in Å follow each position.
Space group F-43m (No. 216)
Inequivalent atoms, fractional coordinates:
Pm 0.1248 0.1248 0.1248 (multiplicity 16)  6 Pm 3.35-3.36
Nd 0.2500 0.2500 0.7500 (multiplicity 4)  12 Pm 3.93, 4 Gd 4.11
Gd 0.0000 0.0000 0.5000 (multiplicity 4)  12 Pm 3.94, 4 Nd 4.11

uncorrected energy: -6.066 eV/atom
crystal system: cubic


Entry 10:
This record from Alexandria via LeMat-Bulk describes an optimized crystal structure of Al2WAu. The functional is PBE.

a = 6.9779 Å, b = 6.9779 Å, c = 5.7160 Å
α = 90.00°, β = 90.00°, γ = 90.00°
Closest atoms and distances in Å follow each position.
Space group I-42d (No. 122)
Inequivalent atoms, fractional coordinates:
Al 0.2340 0.2500 0.1250 (multiplicity 8)  2 Au 2.49, 2 W 2.65
W 0.0000 0.0000 0.5000 (multiplicity 4)  4 Al 2.65, 2 Au 2.86
Au 0.0000 0.0000 0.0000 (multiplicity 4)  4 Al 2.49

uncorrected energy: -5.518 eV/atom
crystal system: tetragonal


Entry 11:
This record from Alexandria via LeMat-Bulk describes an optimized crystal structure of AgOsPd2N. The functional is PBE.

a = 5.0191 Å, b = 5.0191 Å, c = 3.6704 Å
α = 90.00°, β = 90.00°, γ = 90.00°
Closest atoms and distances in Å follow each position.
Space group P4/mmm (No. 123)
Inequivalent atoms, fractional coordinates:
Ag 0.0000 0.0000 0.0000 (multiplicity 1)  8 Pd 3.11
Os 0.5000 0.5000 0.5000 (multiplicity 1)  2 N 1.84
Pd 0.0000 0.5000 0.5000 (multiplicity 2)  2 Os 2.51
N 0.5000 0.5000 0.0000 (multiplicity 1)  2 Os 1.84

ΔE_f (raw): 0.789 eV/atom
crystal system: tetragonal


Entry 12:
This record from Alexandria via LeMat-Bulk describes an optimized crystal structure of KBe2BiH. The functional is PBE.

a = 4.6967 Å, b = 4.6967 Å, c = 7.6681 Å
α = 90.00°, β = 90.00°, γ = 90.00°
Closest atoms and distances in Å follow each position.
Space group P4/mmm (No. 123)
Inequivalent atoms, fractional coordinates:
K 0.0000 0.0000 0.0000 (multiplicity 1)  4 H 3.32
Be 0.0000 0.5000 0.5000 (multiplicity 2)  2 Bi 2.35
Bi 0.0000 0.0000 0.5000 (multiplicity 1)  4 Be 2.35
H 0.5000 0.5000 0.0000 (multiplicity 1)  4 K 3.32

uncorrected energy: -2.164 eV/atom
crystal system: tetragonal